Entry 1:
Material: CaGePb2
Method: DFT, PBE
State: relaxed

Unit cell a=11.1134 b=11.1134 c=11.1134 alpha=19.03 beta=19.03 gamma=19.03
Fractional positions:
Ca  0.0000  0.0000  0.0000
Ge  0.5000  0.5000  0.5000
Pb  0.0995  0.0995  0.0995
Pb  0.9005  0.9005  0.9005

Values from the calculation:
DOS(E_F), states/eV/cell: 2.90
Energy relative to the elements, eV/atom: 0.161
Density, g/cm³: 6.86
Space-group type: No. 166
Crystal system: trigonal

---

Entry 2:
Material: Pm2Cu3Hg
Method: DFT, PBE
State: relaxed

Unit cell a=8.7755 b=8.7755 c=8.7755 alpha=153.90 beta=153.89 gamma=37.25
Fractional positions:
Pm  0.0000  0.0000  0.0000
Pm  0.7242  0.2242  0.5000
Cu  0.1502  0.6502  0.5000
Cu  0.2969  0.7969  0.5000
Cu  0.5666  0.5666  0.0000
Hg  0.3995  0.3995  0.0000

Values from the calculation:
DOS(E_F), states/eV/cell: 2.44
Energy relative to the elements, eV/atom: -0.236
Density, g/cm³: 8.66
Space-group type: No. 44
Energy above the lowest structure with this stoichiometry, meV per atom: 8
Crystal system: orthorhombic

---

Entry 3:
Material: SmHoPu
Method: DFT, PBE
State: relaxed

Unit cell a=16.4927 b=3.4737 c=9.5966 alpha=90.00 beta=90.00 gamma=90.00
Fractional positions:
Sm  0.0983  0.0000  0.0744
Sm  0.2500  0.0000  0.6211
Sm  0.4017  0.0000  0.0744
Sm  0.5983  0.0000  0.9256
Sm  0.7500  0.0000  0.3789
Sm  0.9017  0.0000  0.9256
Ho  0.0710  0.5000  0.7432
Ho  0.2500  0.5000  0.2843
Ho  0.4290  0.5000  0.7432
Ho  0.5710  0.5000  0.2568
Ho  0.7500  0.5000  0.7157
Ho  0.9290  0.5000  0.2568
Pu  0.0828  0.0000  0.4227
Pu  0.2500  0.5000  0.9257
Pu  0.4172  0.0000  0.4227
Pu  0.5828  0.0000  0.5773
Pu  0.7500  0.5000  0.0743
Pu  0.9172  0.0000  0.5773

Values from the calculation:
DOS(E_F), states/eV/cell: 58.49
Energy relative to the elements, eV/atom: 0.140
Density, g/cm³: 10.14
Space-group type: No. 51
Energy above the lowest structure with this stoichiometry, meV per atom: 23
Crystal system: orthorhombic

---

Entry 4:
Material: ZnSiRuRh2
Method: DFT, PBE
State: relaxed

Unit cell a=4.3805 b=4.3805 c=4.4001 alpha=90.00 beta=90.00 gamma=90.00
Fractional positions:
Zn  0.0000  0.0000  0.0000
Si  0.5000  0.5000  0.5000
Ru  0.5000  0.5000  0.0000
Rh  0.0000  0.5000  0.5000
Rh  0.5000  0.0000  0.5000

Values from the calculation:
DOS(E_F), states/eV/cell: 5.76
Density, g/cm³: 7.87
Space-group type: No. 123
Crystal system: tetragonal
ΔE_f (raw), meV per atom: 309

---

Entry 5:
Material: Sc2SiPt5
Method: DFT, PBE
State: relaxed

Unit cell a=5.6156 b=11.1106 c=4.1014 alpha=90.00 beta=90.00 gamma=90.00
Fractional positions:
Sc  0.1817  0.1421  0.0000
Sc  0.3183  0.6421  0.0000
Sc  0.6817  0.3579  0.0000
Sc  0.8183  0.8579  0.0000
Si  0.0000  0.5000  0.5000
Si  0.5000  0.0000  0.5000
Pt  0.0000  0.0000  0.5000
Pt  0.0601  0.7416  0.5000
Pt  0.1826  0.3998  0.0000
Pt  0.3174  0.8998  0.0000
Pt  0.4399  0.2416  0.5000
Pt  0.5000  0.5000  0.5000
Pt  0.5601  0.7584  0.5000
Pt  0.6826  0.1002  0.0000
Pt  0.8174  0.6002  0.0000
Pt  0.9399  0.2584  0.5000

Values from the calculation:
DOS(E_F), states/eV/cell: 9.84
Density, g/cm³: 14.19
Space-group type: No. 55
Crystal system: orthorhombic
ΔE_f (raw), meV per atom: -1013

---

Entry 6:
Material: MgZn2Hg
Method: DFT, PBE
State: relaxed

Unit cell a=10.2320 b=10.2320 c=10.2320 alpha=156.97 beta=156.97 gamma=32.80
Fractional positions:
Mg  0.0000  0.0000  0.0000
Mg  0.7500  0.2500  0.5000
Zn  0.1123  0.6250  0.9873
Zn  0.3750  0.3623  0.4873
Zn  0.6377  0.1250  0.0127
Zn  0.8750  0.8877  0.5127
Hg  0.2500  0.7500  0.5000
Hg  0.5000  0.5000  0.0000

Values from the calculation:
DOS(E_F), states/eV/cell: 2.94
Energy relative to the elements, eV/atom: 0.061
Density, g/cm³: 7.21
Space-group type: No. 122
Energy above the lowest structure with this stoichiometry, meV per atom: 94
Crystal system: tetragonal

---

Entry 7:
Material: Ce2Ge3Rh5
Method: DFT, PBE
State: relaxed

Unit cell a=12.5801 b=12.5801 c=6.7219 alpha=90.00 beta=90.00 gamma=160.92
Fractional positions:
Ce  0.0164  0.9836  0.5000
Ce  0.3254  0.6746  0.5019
Ce  0.6746  0.3254  0.0019
Ce  0.9836  0.0164  0.0000
Ge  0.1130  0.8870  0.7413
Ge  0.2727  0.7273  0.9862
Ge  0.4491  0.5509  0.7151
Ge  0.5509  0.4491  0.2152
Ge  0.7273  0.2727  0.4862
Ge  0.8870  0.1130  0.2413
Rh  0.1020  0.8980  0.1574
Rh  0.2072  0.7928  0.2737
Rh  0.2105  0.7895  0.6928
Rh  0.3734  0.6266  0.9799
Rh  0.4451  0.5549  0.3369
Rh  0.5549  0.4451  0.8369
Rh  0.6266  0.3734  0.4799
Rh  0.7895  0.2105  0.1928
Rh  0.7928  0.2072  0.7737
Rh  0.8980  0.1020  0.6574

Values from the calculation:
DOS(E_F), states/eV/cell: 17.00
Energy relative to the elements, eV/atom: -0.738
Density, g/cm³: 9.67
Space-group type: No. 36
Crystal system: orthorhombic

---

Entry 8:
Material: LaPrNi2Ge
Method: DFT, PBE
State: relaxed

Unit cell a=6.9930 b=6.9930 c=6.9930 alpha=147.25 beta=143.72 gamma=49.67
Fractional positions:
La  0.0000  0.0000  0.0000
Pr  0.2650  0.7650  0.5000
Ni  0.4200  0.4200  0.0000
Ni  0.7316  0.2316  0.5000
Ge  0.6061  0.6061  0.0000

Values from the calculation:
DOS(E_F), states/eV/cell: 3.64
Energy relative to the elements, eV/atom: -0.411
Density, g/cm³: 7.16
Space-group type: No. 44
Crystal system: orthorhombic

---

Entry 9:
Material: Sr4LiRu
Method: DFT, PBE
State: relaxed

Unit cell a=6.9943 b=6.9943 c=6.9943 alpha=60.00 beta=60.00 gamma=60.00
Fractional positions:
Sr  0.3760  0.3760  0.3760
Sr  0.3760  0.3760  0.8720
Sr  0.3760  0.8720  0.3760
Sr  0.8720  0.3760  0.3760
Li  0.0000  0.0000  0.0000
Ru  0.7500  0.7500  0.7500

Values from the calculation:
DOS(E_F), states/eV/cell: 12.44
Energy relative to the elements, eV/atom: 1.021
Density, g/cm³: 3.15
Space-group type: No. 216
Crystal system: cubic

---

Entry 10:
Material: Y2SiSn
Method: DFT, PBE
State: relaxed

Unit cell a=6.5641 b=6.5641 c=6.5641 alpha=105.31 beta=105.31 gamma=118.15
Fractional positions:
Y  0.0998  0.6250  0.9748
Y  0.3750  0.3498  0.4748
Y  0.6502  0.1250  0.0252
Y  0.8750  0.9002  0.5252
Si  0.0000  0.0000  0.0000
Si  0.7500  0.2500  0.5000
Sn  0.2500  0.7500  0.5000
Sn  0.5000  0.5000  0.0000

Values from the calculation:
DOS(E_F), states/eV/cell: 4.15
Density, g/cm³: 5.04
Space-group type: No. 122
Energy above the lowest structure with this stoichiometry, meV per atom: 380
Crystal system: tetragonal
ΔE_f (raw), meV per atom: -383

---

Entry 11:
Material: Ge3AsI
Method: DFT, PBE
State: relaxed

Unit cell a=5.1914 b=5.1914 c=5.1914 alpha=90.00 beta=90.00 gamma=90.00
Fractional positions:
Ge  0.0000  0.0000  0.5000
Ge  0.0000  0.5000  0.0000
Ge  0.5000  0.0000  0.0000
As  0.0000  0.0000  0.0000
I  0.5000  0.5000  0.5000

Values from the calculation:
DOS(E_F), states/eV/cell: 6.44
Density, g/cm³: 4.98
Space-group type: No. 221
Energy above the lowest structure with this stoichiometry, meV per atom: 0
Crystal system: cubic
ΔE_f (raw), meV per atom: 654

---

Entry 12:
Material: TbErCoHg
Method: DFT, PBE
State: relaxed

Unit cell a=5.0151 b=5.0151 c=5.0151 alpha=60.00 beta=60.00 gamma=60.00
Fractional positions:
Tb  0.0000  0.0000  0.0000
Er  0.5000  0.5000  0.5000
Co  0.7500  0.7500  0.7500
Hg  0.2500  0.2500  0.2500

Values from the calculation:
DOS(E_F), states/eV/cell: 2.43
Energy relative to the elements, eV/atom: -0.231
Density, g/cm³: 10.90
Space-group type: No. 216
Crystal system: cubic